1) The following is a PBE calculation of a relaxed AlAsBr2N crystal, from Alexandria.

Cell and atoms, written as CIF:
```
data_AlAsBr2N
_chemical_formula_sum 'Al1 As1 Br2 N1'
_cell_length_a 5.973
_cell_length_b 5.973
_cell_length_c 3.666
_cell_angle_alpha 90.00
_cell_angle_beta 90.00
_cell_angle_gamma 90.00
_space_group_name_H-M_alt 'P 4/m m m'
_space_group_IT_number 123
_space_group_name_Hall '-P 4 2'
loop_
_atom_site_label
_atom_site_type_symbol
_atom_site_fract_x
_atom_site_fract_y
_atom_site_fract_z
_atom_site_occupancy
Al1 Al 0.000 0.000 0.000 1
As1 As 0.500 0.500 0.000 1
Br1 Br 0.000 0.500 0.500 1
N1 N 0.500 0.500 0.500 1
```

=====

2) The following is a PBE calculation of a relaxed AlAsBr2N crystal, from Alexandria.

Cell and atoms, written as CIF:
```
data_AlAsBr2N
_chemical_formula_sum 'Al1 As1 Br2 N1'
_cell_length_a 5.090
_cell_length_b 5.090
_cell_length_c 5.155
_cell_angle_alpha 90.00
_cell_angle_beta 90.00
_cell_angle_gamma 90.00
_space_group_name_H-M_alt 'P 4/m m m'
_space_group_IT_number 123
_space_group_name_Hall '-P 4 2'
loop_
_atom_site_label
_atom_site_type_symbol
_atom_site_fract_x
_atom_site_fract_y
_atom_site_fract_z
_atom_site_occupancy
Al1 Al 0.000 0.000 0.000 1
As1 As 0.000 0.000 0.500 1
Br1 Br 0.000 0.500 0.000 1
N1 N 0.500 0.500 0.500 1
```

=====

Order of stability, best first: 1), 2)

=====

1) The following is a PBE calculation of a relaxed NaAlAsBr2 crystal, from Alexandria.

Cell and atoms, written as CIF:
```
data_NaAlAsBr2
_chemical_formula_sum 'Na1 Al1 As1 Br2'
_cell_length_a 5.383
_cell_length_b 5.383
_cell_length_c 4.869
_cell_angle_alpha 90.00
_cell_angle_beta 90.00
_cell_angle_gamma 90.00
_space_group_name_H-M_alt 'P 4/m m m'
_space_group_IT_number 123
_space_group_name_Hall '-P 4 2'
loop_
_atom_site_label
_atom_site_type_symbol
_atom_site_fract_x
_atom_site_fract_y
_atom_site_fract_z
_atom_site_occupancy
Na1 Na 0.000 0.000 0.000 1
Al1 Al 0.500 0.500 0.500 1
As1 As 0.500 0.500 0.000 1
Br1 Br 0.000 0.500 0.500 1
```

=====

2) The following is a PBE calculation of a relaxed NaAlAsBr2 crystal, from Alexandria.

Cell and atoms, written as CIF:
```
data_NaAlAsBr2
_chemical_formula_sum 'Na1 Al1 As1 Br2'
_cell_length_a 5.544
_cell_length_b 5.544
_cell_length_c 5.598
_cell_angle_alpha 90.00
_cell_angle_beta 90.00
_cell_angle_gamma 90.00
_space_group_name_H-M_alt 'P 4/m m m'
_space_group_IT_number 123
_space_group_name_Hall '-P 4 2'
loop_
_atom_site_label
_atom_site_type_symbol
_atom_site_fract_x
_atom_site_fract_y
_atom_site_fract_z
_atom_site_occupancy
Na1 Na 0.000 0.000 0.000 1
Al1 Al 0.500 0.500 0.500 1
As1 As 0.000 0.000 0.500 1
Br1 Br 0.000 0.500 0.000 1
```

=====

Order of stability, best first: 1), 2)

=====

1) The following is a PBE calculation of a relaxed AlAsOsBr2 crystal, from Alexandria.

Cell and atoms, written as CIF:
```
data_AlAsOsBr2
_chemical_formula_sum 'Al1 As1 Os1 Br2'
_cell_length_a 4.826
_cell_length_b 4.826
_cell_length_c 5.249
_cell_angle_alpha 90.00
_cell_angle_beta 90.00
_cell_angle_gamma 90.00
_space_group_name_H-M_alt 'P 4/m m m'
_space_group_IT_number 123
_space_group_name_Hall '-P 4 2'
loop_
_atom_site_label
_atom_site_type_symbol
_atom_site_fract_x
_atom_site_fract_y
_atom_site_fract_z
_atom_site_occupancy
Al1 Al 0.000 0.000 0.000 1
As1 As 0.000 0.000 0.500 1
Os1 Os 0.500 0.500 0.500 1
Br1 Br 0.000 0.500 0.000 1
```

=====

2) The following is a PBE calculation of a relaxed AlAsOsBr2 crystal, from Alexandria.

Cell and atoms, written as CIF:
```
data_AlAsOsBr2
_chemical_formula_sum 'Al1 As1 Os1 Br2'
_cell_length_a 5.328
_cell_length_b 5.328
_cell_length_c 4.654
_cell_angle_alpha 90.00
_cell_angle_beta 90.00
_cell_angle_gamma 90.00
_space_group_name_H-M_alt 'P 4/m m m'
_space_group_IT_number 123
_space_group_name_Hall '-P 4 2'
loop_
_atom_site_label
_atom_site_type_symbol
_atom_site_fract_x
_atom_site_fract_y
_atom_site_fract_z
_atom_site_occupancy
Al1 Al 0.000 0.000 0.000 1
As1 As 0.500 0.500 0.000 1
Os1 Os 0.500 0.500 0.500 1
Br1 Br 0.000 0.500 0.500 1
```

=====

Order of stability, best first: 2), 1)

=====

1) The following is a PBE calculation of a relaxed AlAs2OsBr crystal, from Alexandria.

Cell and atoms, written as CIF:
```
data_AlAs2OsBr
_chemical_formula_sum 'Al1 As2 Os1 Br1'
_cell_length_a 4.851
_cell_length_b 4.851
_cell_length_c 4.741
_cell_angle_alpha 90.00
_cell_angle_beta 90.00
_cell_angle_gamma 90.00
_space_group_name_H-M_alt 'P 4/m m m'
_space_group_IT_number 123
_space_group_name_Hall '-P 4 2'
loop_
_atom_site_label
_atom_site_type_symbol
_atom_site_fract_x
_atom_site_fract_y
_atom_site_fract_z
_atom_site_occupancy
Al1 Al 0.000 0.000 0.000 1
As1 As 0.000 0.500 0.000 1
Os1 Os 0.500 0.500 0.500 1
Br1 Br 0.000 0.000 0.500 1
```

=====

2) The following is a PBE calculation of a relaxed AlAs2OsBr crystal, from Alexandria.

Cell and atoms, written as CIF:
```
data_AlAs2OsBr
_chemical_formula_sum 'Al1 As2 Os1 Br1'
_cell_length_a 4.724
_cell_length_b 4.724
_cell_length_c 5.641
_cell_angle_alpha 90.00
_cell_angle_beta 90.00
_cell_angle_gamma 90.00
_space_group_name_H-M_alt 'P 4/m m m'
_space_group_IT_number 123
_space_group_name_Hall '-P 4 2'
loop_
_atom_site_label
_atom_site_type_symbol
_atom_site_fract_x
_atom_site_fract_y
_atom_site_fract_z
_atom_site_occupancy
Al1 Al 0.000 0.000 0.000 1
As1 As 0.000 0.500 0.500 1
Os1 Os 0.500 0.500 0.500 1
Br1 Br 0.500 0.500 0.000 1
```

=====

Order of stability, best first: 2), 1)